Record 1
# Ta2AlSi PBEsol relaxed
data_Ta2AlSi
_cell_length_a 3.4044
_cell_length_b 3.4044
_cell_length_c 5.5627
_cell_angle_alpha 90.00
_cell_angle_beta 90.00
_cell_angle_gamma 90.00
_space_group_name_H-M_alt 'P 4 m m'
_space_group_IT_number 99
_space_group_name_Hall 'P 4 -2'
loop_
_atom_site_label
_atom_site_type_symbol
_atom_site_fract_x
_atom_site_fract_y
_atom_site_fract_z
Ta1 Ta 0.0000 0.0000 0.0000
Ta2 Ta 0.5000 0.5000 0.2491
Al1 Al 0.0000 0.0000 0.5068
Si1 Si 0.5000 0.5000 0.7506
# E_form (uncorrected) = -245 meV per atom
# Energy relative to the lowest polymorph listed for this composition = 0.0 meV per atom
# Volume = 16.12 Å³/atom

Record 2
# PbBrNO2 PBEsol relaxed
data_PbBrNO2
_cell_length_a 4.2106
_cell_length_b 4.2106
_cell_length_c 4.5915
_cell_angle_alpha 90.00
_cell_angle_beta 90.00
_cell_angle_gamma 90.00
_space_group_name_H-M_alt 'P 4/m m m'
_space_group_IT_number 123
_space_group_name_Hall '-P 4 2'
loop_
_atom_site_label
_atom_site_type_symbol
_atom_site_fract_x
_atom_site_fract_y
_atom_site_fract_z
Pb1 Pb 0.0000 0.0000 0.0000
Br1 Br 0.5000 0.5000 0.5000
N1 N 0.0000 0.0000 0.5000
O1 O 0.0000 0.5000 0.0000
# E_form (uncorrected) = 961 meV per atom
# Volume = 16.28 Å³/atom

Record 3
# TcMoRh3 PBEsol relaxed
data_TcMoRh3
_cell_length_a 4.5469
_cell_length_b 4.5469
_cell_length_c 4.5469
_cell_angle_alpha 90.00
_cell_angle_beta 90.00
_cell_angle_gamma 90.00
_space_group_name_H-M_alt 'P m -3 m'
_space_group_IT_number 221
_space_group_name_Hall '-P 4 2 3'
loop_
_atom_site_label
_atom_site_type_symbol
_atom_site_fract_x
_atom_site_fract_y
_atom_site_fract_z
Tc1 Tc 0.0000 0.0000 0.0000
Mo1 Mo 0.5000 0.5000 0.5000
Rh1 Rh 0.0000 0.5000 0.5000
# E_form = 1.653 eV/atom
# Volume = 18.80 Å³/atom

Record 4
# KCdAs2 PBEsol relaxed
data_KCdAs2
_cell_length_a 4.2454
_cell_length_b 4.7804
_cell_length_c 8.9481
_cell_angle_alpha 90.00
_cell_angle_beta 90.00
_cell_angle_gamma 90.00
_space_group_name_H-M_alt 'C m m m'
_space_group_IT_number 65
_space_group_name_Hall '-C 2 2'
loop_
_atom_site_label
_atom_site_type_symbol
_atom_site_fract_x
_atom_site_fract_y
_atom_site_fract_z
K1 K 0.0000 0.0000 0.0000
Cd1 Cd 0.0000 0.0000 0.5000
As1 As 0.0000 0.5000 0.2827
# E_form = 0.045 eV/atom
# Volume = 22.70 Å³/atom

Record 5
# CsMg2F PBEsol relaxed
data_CsMg2F
_cell_length_a 7.1022
_cell_length_b 7.1022
_cell_length_c 10.1172
_cell_angle_alpha 90.00
_cell_angle_beta 90.00
_cell_angle_gamma 90.00
_space_group_name_H-M_alt 'I 41/a m d'
_space_group_IT_number 141
loop_
_space_group_symop_operation_xyz
'x,y,z'
'-x,-y,-z'
'-y+1/4,x+3/4,z+1/4'
'y+1/4,-x+3/4,-z+1/4'
'-x+1/2,-y,z+1/2'
'x+1/2,y,-z+1/2'
'y+1/4,-x+1/4,z+3/4'
'-y+1/4,x+1/4,-z+3/4'
'x,-y,-z'
'-x,y,z'
'-y+1/4,-x+1/4,-z+3/4'
'y+1/4,x+1/4,z+3/4'
'-x+1/2,y,-z+1/2'
'x+1/2,-y,z+1/2'
'y+1/4,x+3/4,-z+1/4'
'-y+1/4,-x+3/4,z+1/4'
'x+1/2,y+1/2,z+1/2'
'-x+1/2,-y+1/2,-z+1/2'
'-y+3/4,x+1/4,z+3/4'
'y+3/4,-x+1/4,-z+3/4'
'-x,-y+1/2,z'
'x,y+1/2,-z'
'y+3/4,-x+3/4,z+1/4'
'-y+3/4,x+3/4,-z+1/4'
'x+1/2,-y+1/2,-z+1/2'
'-x+1/2,y+1/2,z+1/2'
'-y+3/4,-x+3/4,-z+1/4'
'y+3/4,x+3/4,z+1/4'
'-x,y+1/2,-z'
'x,-y+1/2,z'
'y+3/4,x+1/4,-z+3/4'
'-y+3/4,-x+1/4,z+3/4'
loop_
_atom_site_label
_atom_site_type_symbol
_atom_site_fract_x
_atom_site_fract_y
_atom_site_fract_z
Cs1 Cs 0.0000 0.2500 0.3750
Mg1 Mg 0.0000 0.0000 0.0000
F1 F 0.0000 0.2500 0.8750
# E_form (uncorrected) = -836 meV per atom
# Volume = 31.90 Å³/atom

Record 6
# Ta14Cu3S24 PBEsol relaxed
data_Ta14Cu3S24
_cell_length_a 6.5908
_cell_length_b 8.7013
_cell_length_c 12.8746
_cell_angle_alpha 92.39
_cell_angle_beta 97.84
_cell_angle_gamma 101.35
_space_group_name_H-M_alt 'P 1'
_space_group_IT_number 1
_space_group_name_Hall 'P 1'
loop_
_atom_site_label
_atom_site_type_symbol
_atom_site_fract_x
_atom_site_fract_y
_atom_site_fract_z
Ta1 Ta 0.0000 0.0000 0.0000
Ta2 Ta 0.0271 0.6083 0.5123
Ta3 Ta 0.1580 0.6721 0.0060
Ta4 Ta 0.1982 0.2773 0.5093
Ta5 Ta 0.2836 0.3221 0.7587
Ta6 Ta 0.3283 0.3348 0.0068
Ta7 Ta 0.3698 0.9477 0.5148
Ta8 Ta 0.4898 0.9944 0.0013
Ta9 Ta 0.5315 0.6088 0.5099
Ta10 Ta 0.5797 0.6215 0.7583
Ta11 Ta 0.6630 0.6650 0.0071
Ta12 Ta 0.7054 0.2728 0.5102
Ta13 Ta 0.8381 0.3345 0.0041
Ta14 Ta 0.8652 0.9446 0.5152
Cu1 Cu 0.2255 0.6922 0.2213
Cu2 Cu 0.6370 0.2566 0.2941
Cu3 Cu 0.8077 0.9172 0.2948
S1 S 0.0135 0.4018 0.6356
S2 S 0.0203 0.2114 0.8766
S3 S 0.0882 0.2331 0.1270
S4 S 0.1151 0.0427 0.3895
S5 S 0.1793 0.8733 0.8780
S6 S 0.1820 0.0719 0.6384
S7 S 0.2555 0.9118 0.1290
S8 S 0.2734 0.7111 0.3921
S9 S 0.3387 0.5493 0.8831
S10 S 0.3422 0.7329 0.6351
S11 S 0.4247 0.5672 0.1304
S12 S 0.4366 0.3770 0.3865
S13 S 0.5203 0.2115 0.8820
S14 S 0.5237 0.3942 0.6333
S15 S 0.5887 0.2324 0.1236
S16 S 0.6006 0.0353 0.3864
S17 S 0.6799 0.8710 0.8785
S18 S 0.6836 0.0693 0.6366
S19 S 0.7555 0.9041 0.1238
S20 S 0.7723 0.7021 0.3884
S21 S 0.8423 0.7327 0.6384
S22 S 0.8489 0.5416 0.8811
S23 S 0.9133 0.5642 0.1306
S24 S 0.9501 0.3788 0.3856
# E_form (uncorrected) = -1102 meV per atom
# Volume = 17.45 Å³/atom